# Fe6BMo6C (meta-GGA SCAN, PBEsol geometry)
data_Fe6BMo6C
_cell_length_a 7.7386
_cell_length_b 7.7439
_cell_length_c 7.7439
_cell_angle_alpha 60.04
_cell_angle_beta 60.02
_cell_angle_gamma 60.02
_space_group_name_H-M_alt 'P 1'
_space_group_IT_number 1
loop_
_space_group_symop_operation_xyz
'x,y,z'
loop_
_atom_site_label
_atom_site_type_symbol
_atom_site_fract_x
_atom_site_fract_y
_atom_site_fract_z
Fe1 Fe 0.5000 0.0000 0.0000
Fe2 Fe 0.5000 0.5000 0.5000
Fe3 Fe 0.5000 0.5000 0.0000
Fe4 Fe 0.0000 0.5000 0.0000
Fe5 Fe 0.2983 0.6054 0.7980
Fe6 Fe 0.2983 0.2980 0.1054
Fe7 Fe 0.2982 0.2977 0.7977
Fe8 Fe 0.6064 0.2977 0.7977
Fe9 Fe 0.7017 0.3946 0.2020
Fe10 Fe 0.7017 0.7020 0.8946
Fe11 Fe 0.7018 0.7023 0.2023
Fe12 Fe 0.3936 0.7023 0.2023
B1 B 0.0000 0.0000 0.5000
B2 B 0.5000 0.0000 0.5000
Mo1 Mo 0.3262 0.3330 0.4187
Mo2 Mo 0.9221 0.3330 0.4187
Mo3 Mo 0.9231 0.3269 0.8269
Mo4 Mo 0.9221 0.9187 0.8330
Mo5 Mo 0.3262 0.9187 0.8330
Mo6 Mo 0.3321 0.9179 0.4179
Mo7 Mo 0.6738 0.6670 0.5813
Mo8 Mo 0.0779 0.6670 0.5813
Mo9 Mo 0.0769 0.6731 0.1731
Mo10 Mo 0.0779 0.0813 0.1670
Mo11 Mo 0.6738 0.0813 0.1670
Mo12 Mo 0.6679 0.0821 0.5821
C1 C 0.0000 0.5000 0.5000
C2 C 0.0000 0.0000 0.0000
# energy relative to the elements = 77 meV/atom
# N(E_F) = 0.77 states/eV/atom

=====

# LaMnAl3 (meta-GGA SCAN, PBEsol geometry)
data_LaMnAl3
_cell_length_a 4.5811
_cell_length_b 4.5811
_cell_length_c 4.5811
_cell_angle_alpha 90.00
_cell_angle_beta 90.00
_cell_angle_gamma 90.00
_space_group_name_H-M_alt 'P 1'
_space_group_IT_number 1
loop_
_space_group_symop_operation_xyz
'x,y,z'
loop_
_atom_site_label
_atom_site_type_symbol
_atom_site_fract_x
_atom_site_fract_y
_atom_site_fract_z
Mn1 Mn 0.0000 0.0000 0.0000
Al1 Al 0.0000 0.5000 0.0000
Al2 Al 0.0000 0.0000 0.5000
Al3 Al 0.5000 0.0000 0.0000
La1 La 0.5000 0.5000 0.5000
# energy relative to the elements = -372 meV/atom
# N(E_F) = 0.29 states/eV/atom

=====

# Te2SO4F6 (meta-GGA SCAN, PBEsol geometry)
data_Te2SO4F6
_cell_length_a 8.9339
_cell_length_b 8.8055
_cell_length_c 9.8470
_cell_angle_alpha 90.00
_cell_angle_beta 90.00
_cell_angle_gamma 90.00
_space_group_name_H-M_alt 'P 1'
_space_group_IT_number 1
loop_
_space_group_symop_operation_xyz
'x,y,z'
loop_
_atom_site_label
_atom_site_type_symbol
_atom_site_fract_x
_atom_site_fract_y
_atom_site_fract_z
Te1 Te 0.0434 0.1506 0.0352
Te2 Te 0.5582 0.8287 0.0840
Te3 Te 0.4418 0.3287 0.4160
Te4 Te 0.5434 0.3494 0.9648
Te5 Te 0.9418 0.1713 0.5840
Te6 Te 0.0582 0.6713 0.9160
Te7 Te 0.9566 0.6506 0.4648
Te8 Te 0.4566 0.8494 0.5352
S1 S 0.8371 0.9582 0.2864
S2 S 0.3371 0.5418 0.7136
S3 S 0.1629 0.4582 0.2136
S4 S 0.6629 0.0418 0.7864
O1 O 0.5442 0.1550 0.8228
O2 O 0.3645 0.4866 0.8547
O3 O 0.1355 0.5134 0.3547
O4 O 0.4558 0.6550 0.6772
O5 O 0.6875 0.8845 0.2867
O6 O 0.8380 0.0859 0.3827
O7 O 0.6620 0.9141 0.8827
O8 O 0.8125 0.1155 0.7867
O9 O 0.1620 0.5859 0.1173
O10 O 0.0442 0.3450 0.1772
O11 O 0.6355 0.9866 0.6453
O12 O 0.9558 0.8450 0.3228
O13 O 0.8645 0.0134 0.1453
O14 O 0.1875 0.6155 0.7133
O15 O 0.3125 0.3845 0.2133
O16 O 0.3380 0.4141 0.6173
F1 F 0.4963 0.5346 0.3989
F2 F 0.3442 0.9358 0.6756
F3 F 0.8888 0.6982 0.0303
F4 F 0.9963 0.9654 0.6011
F5 F 0.1112 0.1982 0.4697
F6 F 0.5037 0.0346 0.1011
F7 F 0.5777 0.5429 0.0598
F8 F 0.9223 0.4571 0.5598
F9 F 0.0037 0.4654 0.8989
F10 F 0.3888 0.8018 0.9697
F11 F 0.7326 0.2833 0.0330
F12 F 0.9236 0.7174 0.7729
F13 F 0.8442 0.5642 0.3244
F14 F 0.4223 0.0429 0.4402
F15 F 0.6112 0.3018 0.5303
F16 F 0.5764 0.2826 0.2729
F17 F 0.4236 0.7826 0.2271
F18 F 0.0764 0.2174 0.7271
F19 F 0.2326 0.2167 0.9670
F20 F 0.2674 0.7833 0.4670
F21 F 0.6558 0.4358 0.8244
F22 F 0.1558 0.0642 0.1756
F23 F 0.0777 0.9571 0.9402
F24 F 0.7674 0.7167 0.5330
# N(E_F) = 0.00 states/eV/atom
# energy relative to the elements, uncorrected = -1.83 eV/atom

=====

# HfRhBr2 (meta-GGA SCAN, PBEsol geometry)
data_HfRhBr2
_cell_length_a 3.2453
_cell_length_b 3.2453
_cell_length_c 8.8534
_cell_angle_alpha 79.44
_cell_angle_beta 79.44
_cell_angle_gamma 60.00
_space_group_name_H-M_alt 'P 1'
_space_group_IT_number 1
loop_
_space_group_symop_operation_xyz
'x,y,z'
loop_
_atom_site_label
_atom_site_type_symbol
_atom_site_fract_x
_atom_site_fract_y
_atom_site_fract_z
Rh1 Rh 0.0000 0.0000 0.0000
Hf1 Hf 0.5000 0.5000 0.5000
Br1 Br 0.9079 0.9079 0.2764
Br2 Br 0.0921 0.0921 0.7236
# N(E_F) = 0.69 states/eV/atom
# energy relative to the elements, uncorrected = -0.16 eV/atom

=====

# ZrCuW2 (meta-GGA SCAN, PBEsol geometry)
data_ZrCuW2
_cell_length_a 2.7061
_cell_length_b 4.3822
_cell_length_c 5.5732
_cell_angle_alpha 90.00
_cell_angle_beta 101.87
_cell_angle_gamma 90.00
_space_group_name_H-M_alt 'P 1'
_space_group_IT_number 1
loop_
_space_group_symop_operation_xyz
'x,y,z'
loop_
_atom_site_label
_atom_site_type_symbol
_atom_site_fract_x
_atom_site_fract_y
_atom_site_fract_z
Cu1 Cu 0.2096 0.5000 0.7584
W1 W 0.9941 0.0000 0.0115
W2 W 0.7766 0.5000 0.2246
Zr1 Zr 0.5196 0.0000 0.5055
# energy relative to the elements = 258 meV/atom
# N(E_F) = 0.70 states/eV/atom
# polymorph energy (0 for the lowest one) = 3.17 kcal/mol of atoms

=====

# AsOs2Rh (meta-GGA SCAN, PBEsol geometry)
data_AsOs2Rh
_cell_length_a 2.7728
_cell_length_b 3.6340
_cell_length_c 5.6196
_cell_angle_alpha 90.00
_cell_angle_beta 90.00
_cell_angle_gamma 90.00
_space_group_name_H-M_alt 'P 1'
_space_group_IT_number 1
loop_
_space_group_symop_operation_xyz
'x,y,z'
loop_
_atom_site_label
_atom_site_type_symbol
_atom_site_fract_x
_atom_site_fract_y
_atom_site_fract_z
Rh1 Rh 0.5000 0.5000 0.0000
As1 As 0.5000 0.5000 0.5000
Os1 Os 0.0000 0.0000 0.7564
Os2 Os 0.0000 0.0000 0.2436
# energy relative to the elements = 510 meV/atom
# N(E_F) = 1.01 states/eV/atom

=====

# TlBiSb2 (meta-GGA SCAN, PBEsol geometry)
data_TlBiSb2
_cell_length_a 5.3836
_cell_length_b 5.3836
_cell_length_c 5.3836
_cell_angle_alpha 60.00
_cell_angle_beta 60.00
_cell_angle_gamma 60.00
_space_group_name_H-M_alt 'P 1'
_space_group_IT_number 1
loop_
_space_group_symop_operation_xyz
'x,y,z'
loop_
_atom_site_label
_atom_site_type_symbol
_atom_site_fract_x
_atom_site_fract_y
_atom_site_fract_z
Sb1 Sb 0.2500 0.2500 0.2500
Sb2 Sb 0.7500 0.7500 0.7500
Tl1 Tl 0.0000 0.0000 0.0000
Bi1 Bi 0.5000 0.5000 0.5000
# N(E_F) = 0.60 states/eV/atom
# energy relative to the elements, uncorrected = 0.22 eV/atom
# polymorph energy (0 for the lowest one) = 0.00 kcal/mol of atoms

=====

# ReS2NCl (meta-GGA SCAN, PBEsol geometry)
data_ReS2NCl
_cell_length_a 3.7585
_cell_length_b 4.6734
_cell_length_c 4.6734
_cell_angle_alpha 90.00
_cell_angle_beta 90.00
_cell_angle_gamma 90.00
_space_group_name_H-M_alt 'P 1'
_space_group_IT_number 1
loop_
_space_group_symop_operation_xyz
'x,y,z'
loop_
_atom_site_label
_atom_site_type_symbol
_atom_site_fract_x
_atom_site_fract_y
_atom_site_fract_z
Re1 Re 0.0000 0.0000 0.0000
S1 S 0.0000 0.0000 0.5000
S2 S 0.0000 0.5000 0.0000
N1 N 0.5000 0.0000 0.0000
Cl1 Cl 0.5000 0.5000 0.5000
# N(E_F) = 0.88 states/eV/atom
# energy relative to the elements, uncorrected = 0.45 eV/atom

=====

| no. | total energy (eV per atom) |
| --- | --- |
| 1 | -23.896 |
| 2 | -17.296 |
| 3 | -11.851 |
| 4 | -33.996 |
| 5 | -46.060 |
| 6 | -48.921 |
| 7 | -56.148 |
| 8 | -21.078 |